[1]
Here is crystalline MoBr3Cl at its relaxed geometry from Alexandria via LeMat-Bulk. Energies are from GGA-PBEsol. Values from VASP.

Geometry as Quantum ESPRESSO input:
```
&SYSTEM
  ibrav = 0, nat = 5, ntyp = 3
/
ATOMIC_SPECIES
Mo 95.94 Mo.upf
Br 79.90 Br.upf
Cl 35.45 Cl.upf
ATOMIC_POSITIONS crystal
Mo 0.0000 0.0000 0.0000
Br 0.0000 0.0000 0.5000
Br 0.0000 0.5000 0.0000
Br 0.5000 0.0000 0.0000
Cl 0.5000 0.5000 0.5000
CELL_PARAMETERS angstrom
4.9417 0.0000 0.0000
0.0000 4.9417 0.0000
0.0000 0.0000 4.9417
```

## Properties
The density of states at the Fermi level is 2.99 states/eV/f.u. The value obtained for the energy relative to the elements, uncorrected is -0.0349 eV per atom.

[2]
Here is crystalline Mo2BrCl at its relaxed geometry from Alexandria via LeMat-Bulk. Energies are from GGA-PBEsol. Values from VASP.

Geometry as Quantum ESPRESSO input:
```
&SYSTEM
  ibrav = 0, nat = 4, ntyp = 3
/
ATOMIC_SPECIES
Mo 95.94 Mo.upf
Br 79.90 Br.upf
Cl 35.45 Cl.upf
ATOMIC_POSITIONS crystal
Mo 0.0000 0.0000 0.0000
Mo 0.7500 0.2500 0.5000
Br 0.5000 0.5000 0.0000
Cl 0.2500 0.7500 0.5000
CELL_PARAMETERS angstrom
-2.0168 2.0168 3.9890
2.0168 -2.0168 3.9890
2.0168 2.0168 -3.9890
```

## Properties
The density of states at the Fermi level is 2.81 states/eV/f.u. The value obtained for the energy relative to the elements, uncorrected is 0.9361 eV per atom.

Q: Which formula does entry 2 have?
A: Mo2BrCl

Q: What is the formula in the second record?
A: Mo2BrCl

Q: Which of these has the lowest energy relative to the elements, uncorrected?
A: MoBr3Cl